Entry 1:
A geometry-optimized LiHo7Hg4 structure, computed with PBE-GGA.

a b c (Å): 7.794 7.794 9.479
angles (deg): 119.36 119.36 41.73
Fractional coordinates of all 12 atoms:
Li1 0.000 0.000 0.000
Ho1 0.072 0.072 0.414
Ho2 0.194 0.194 0.880
Ho3 0.260 0.260 0.301
Ho4 0.500 0.500 0.000
Ho5 0.740 0.740 0.699
Ho6 0.806 0.806 0.120
Ho7 0.928 0.928 0.586
Hg1 0.313 0.313 0.658
Hg2 0.456 0.456 0.287
Hg3 0.544 0.544 0.713
Hg4 0.687 0.687 0.342

Computed properties:
As for the crystal system: monoclinic. For the mass density, the calculation gives 10.00 g/cm³. The energy of formation comes out at -0.13 eV/atom. The calculation puts the total magnetization at 0.00 μB/f.u.

=====

Entry 2:
A geometry-optimized Cs3ReCl2F6 structure, computed with PBE-GGA.

a b c (Å): 9.460 9.460 5.103
angles (deg): 90.74 90.74 52.98
Fractional coordinates of all 12 atoms:
Cs1 0.000 0.000 0.000
Cs2 0.000 0.500 0.500
Cs3 0.500 0.000 0.500
Re1 0.500 0.500 0.500
Cl1 0.195 0.195 0.991
Cl2 0.805 0.805 0.009
F1 0.297 0.628 0.725
F2 0.372 0.703 0.275
F3 0.398 0.398 0.332
F4 0.602 0.602 0.668
F5 0.628 0.297 0.725
F6 0.703 0.372 0.275

Computed properties:
The value obtained for the uncorrected formation energy is -2.2266 eV per atom. As for the crystal system: monoclinic. For the mass density, the calculation gives 3.51 g/cm³. The calculation puts the total magnetization at 2.00 μB/f.u.